First-principles (PBE) data for TmScCuGe after structural relaxation, as listed in Alexandria via LeMat-Bulk.

a = 4.788 Å, b = 4.788 Å, c = 4.788 Å
α = 60.00°, β = 60.00°, γ = 60.00°
Fractional coordinates of all 4 atoms:
Sc (0.500, 0.500, 0.500)
Tm (0.000, 0.000, 0.000)
Ge (0.250, 0.250, 0.250)
Cu (0.750, 0.750, 0.750)

Output
- DOS(E_F) (states/eV per cell) = 3.58
- energy relative to the elements (eV/atom) = -0.500

First-principles (PBE) data for YScCuGe after structural relaxation, as listed in Alexandria via LeMat-Bulk.

a = 4.835 Å, b = 4.835 Å, c = 4.835 Å
α = 60.00°, β = 60.00°, γ = 60.00°
Fractional coordinates of all 4 atoms:
Sc (0.000, 0.000, 0.000)
Ge (0.250, 0.250, 0.250)
Y (0.500, 0.500, 0.500)
Cu (0.750, 0.750, 0.750)

Output
- DOS(E_F) (states/eV per cell) = 3.58
- energy relative to the elements (eV/atom) = -0.499

First-principles (PBE) data for ZrScCuGe after structural relaxation, as listed in Alexandria via LeMat-Bulk.

a = 4.669 Å, b = 4.669 Å, c = 4.669 Å
α = 60.00°, β = 60.00°, γ = 60.00°
Fractional coordinates of all 4 atoms:
Cu (0.750, 0.750, 0.750)
Sc (0.500, 0.500, 0.500)
Zr (0.000, 0.000, 0.000)
Ge (0.250, 0.250, 0.250)

Output
- DOS(E_F) (states/eV per cell) = 3.18
- energy relative to the elements (eV/atom) = -0.437

First-principles (PBE) data for Cu4GeSe5 after structural relaxation, as listed in Alexandria via LeMat-Bulk.

a = 5.213 Å, b = 6.398 Å, c = 6.398 Å
α = 80.45°, β = 65.96°, γ = 65.96°
Fractional coordinates of all 10 atoms:
Se (0.501, 0.000, 0.000)
Se (0.310, 0.791, 0.590)
Se (0.901, 0.410, 0.791)
Se (0.692, 0.209, 0.410)
Se (0.101, 0.590, 0.209)
Cu (0.798, 0.810, 0.596)
Cu (0.608, 0.596, 0.190)
Cu (0.204, 0.190, 0.404)
Cu (0.394, 0.404, 0.810)
Ge (0.001, 0.000, 0.000)

Output
- DOS(E_F) (states/eV per cell) = 5.16
- energy relative to the elements, uncorrected (eV per atom) = -0.09

First-principles (PBE) data for Cu2GeSe4 after structural relaxation, as listed in Alexandria via LeMat-Bulk.

a = 6.619 Å, b = 6.619 Å, c = 6.619 Å
α = 130.85°, β = 130.85°, γ = 72.04°
Fractional coordinates of all 7 atoms:
Se (0.116, 0.642, 0.000)
Se (0.358, 0.358, 0.474)
Se (0.642, 0.116, 0.000)
Se (0.884, 0.884, 0.526)
Ge (0.500, 0.500, 0.000)
Cu (0.250, 0.750, 0.500)
Cu (0.750, 0.250, 0.500)

Output
- DOS(E_F) (states/eV per cell) = 5.34
- energy relative to the elements, uncorrected (eV per atom) = -0.17

First-principles (PBE) data for Cu2GeSe3 after structural relaxation, as listed in Alexandria via LeMat-Bulk.

a = 13.205 Å, b = 12.595 Å, c = 6.899 Å
α = 79.44°, β = 69.66°, γ = 30.90°
Fractional coordinates of all 24 atoms:
Se (0.121, 0.541, 0.969)
Se (0.541, 0.960, 0.046)
Se (0.366, 0.801, 0.207)
Se (0.046, 0.453, 0.541)
Se (0.449, 0.884, 0.624)
Se (0.290, 0.709, 0.797)
Se (0.969, 0.369, 0.121)
Se (0.207, 0.626, 0.366)
Se (0.797, 0.204, 0.290)
Se (0.881, 0.281, 0.709)
Se (0.709, 0.129, 0.881)
Se (0.624, 0.043, 0.449)
Ge (0.512, 0.152, 0.822)
Ge (0.736, 0.428, 0.098)
Ge (0.098, 0.738, 0.736)
Ge (0.822, 0.514, 0.512)
Cu (0.911, 0.589, 0.911)
Cu (0.167, 0.833, 0.167)
Cu (0.346, 0.990, 0.993)
Cu (0.417, 0.083, 0.417)
Cu (0.578, 0.257, 0.260)
Cu (0.993, 0.672, 0.346)
Cu (0.661, 0.339, 0.661)
Cu (0.260, 0.904, 0.578)

Output
- DOS(E_F) (states/eV per cell) = 3.65
- energy above the lowest structure with this stoichiometry (meV/atom) = 3
- energy relative to the elements, uncorrected (eV per atom) = -0.25